Sr3Li2VO6, relaxed, DFT GGA+U; uncorrected energy = -6.111 eV per atom
1.0
5.726 0.000 0.000
-2.863 4.959 0.000
0.000 0.000 6.210
Sr Li V O
3 2 1 6
Cartesian
0.000 3.306 3.877
2.863 1.653 2.333
0.000 0.000 0.000
2.863 1.653 4.946
0.000 3.306 1.264
0.000 0.000 3.105
1.471 4.155 1.940
0.000 1.607 1.940
-1.471 4.155 1.940
2.863 3.352 4.270
1.392 0.804 4.270
4.334 0.804 4.270